# GGA-PBE BiSbH, optimized geometry
# Energy relative to the lowest polymorph listed for this composition ... 0.0 kJ/mol of atoms
# Density of states at the Fermi level ... 0.3 states/eV/cell
# Density ... 6.715 g/cm3
# Total magnetization ... 0.0 μB per formula unit
data_BiSbH
_cell_length_a 3.2655
_cell_length_b 5.2203
_cell_length_c 10.2962
_cell_angle_alpha 101.30
_cell_angle_beta 90.19
_cell_angle_gamma 107.19
_space_group_name_H-M_alt 'P -1'
_space_group_IT_number 2
loop_
_space_group_symop_operation_xyz
'x,y,z'
'-x,-y,-z'
loop_
_atom_site_label
_atom_site_type_symbol
_atom_site_fract_x
_atom_site_fract_y
_atom_site_fract_z
Bi1 Bi 0.0793 0.1703 0.3925
Sb1 Sb 0.1538 0.3176 0.8287
H1 H 0.0475 0.0909 0.9386